AlCrPb3 PBE relaxed; offset from the most stable computed form = 763 meV per atom; energy of formation = 6.63 eV/f.u.
1.0
5.346 0.000 0.000
0.000 5.346 0.000
0.000 0.000 5.346
Pb Cr Al
3 1 1
Direct
0.000 0.500 0.000
0.000 0.000 0.500
0.500 0.000 0.000
0.500 0.500 0.500
0.000 0.000 0.000